{"formula": "Sr2BiH", "functional": "PBE", "state": "relaxed", "e_tot_ev_per_atom": -3.179, "relative_energy_ev_per_atom": 0.143, "dos_ef_per_ev_fu": 0.000, "lattice_angstrom": [[0.466, 3.145, 4.571], [-3.441, 4.308, 0.778], [-3.912, -0.240, 3.956]], "species": ["H", "Bi", "Sr", "Sr"], "frac_coords": [[0.000, 0.000, 0.000], [0.500, 0.500, 0.500], [0.750, 0.750, 0.750], [0.250, 0.250, 0.250]]}

{"formula": "Cs3DyY3Te8", "functional": "PBE", "state": "relaxed", "e_tot_ev_per_atom": -4.784, "dos_ef_per_ev_fu": 7.318, "raw_formation_energy_kcal_per_mol_atoms": -30.9, "lattice_angstrom": [[-8.103, 2.891, -2.083], [3.152, -7.393, -3.714], [-2.950, -1.011, 10.072]], "species": ["Te", "Te", "Te", "Te", "Te", "Te", "Te", "Te", "Dy", "Cs", "Cs", "Cs", "Y", "Y", "Y"], "frac_coords": [[0.769, 0.040, 0.309], [0.270, 0.539, 0.309], [0.729, 0.960, 0.691], [0.231, 0.960, 0.691], [0.730, 0.461, 0.691], [0.769, 0.538, 0.309], [0.271, 0.040, 0.309], [0.231, 0.462, 0.691], [0.000, 0.000, 0.500], [0.500, 0.500, 0.000], [0.000, 0.500, 0.000], [0.000, 0.000, 0.000], [0.500, 0.500, 0.500], [0.000, 0.500, 0.500], [0.500, 0.000, 0.500]]}

{"formula": "InBi2Te4", "functional": "PBE", "state": "relaxed", "e_tot_ev_per_atom": -3.460, "dos_ef_per_ev_fu": 2.312, "raw_formation_energy_kcal_per_mol_atoms": -3.8, "lattice_angstrom": [[4.336, 0.000, 0.000], [-2.168, 7.374, 0.000], [0.000, 0.000, 15.355]], "species": ["Te", "Te", "Te", "Te", "Te", "Te", "Te", "Te", "In", "In", "Bi", "Bi", "Bi", "Bi"], "frac_coords": [[0.780, 0.560, 0.376], [0.780, 0.560, 0.124], [0.041, 0.082, 0.250], [0.220, 0.440, 0.624], [0.500, 0.000, 0.500], [0.959, 0.918, 0.750], [0.220, 0.440, 0.876], [0.500, 0.000, 0.000], [0.599, 0.198, 0.750], [0.401, 0.802, 0.250], [0.860, 0.720, 0.565], [0.140, 0.280, 0.435], [0.140, 0.280, 0.065], [0.860, 0.720, 0.935]]}

{"formula": "Fe2AgRu", "functional": "PBE", "state": "relaxed", "e_tot_ev_per_atom": -6.324, "relative_energy_ev_per_atom": 0.638, "dos_ef_per_ev_fu": 1.831, "delta_e_f_ev_per_fu": 3.8, "lattice_angstrom": [[6.652, 0.000, 0.000], [0.000, 6.652, 0.000], [3.326, 3.326, 2.653]], "species": ["Fe", "Fe", "Fe", "Fe", "Ag", "Ag", "Ru", "Ru"], "frac_coords": [[0.582, 0.125, 0.250], [0.875, 0.832, 0.750], [0.375, 0.418, 0.750], [0.168, 0.625, 0.250], [0.000, 0.000, 0.000], [0.750, 0.250, 0.500], [0.500, 0.500, 0.000], [0.250, 0.750, 0.500]]}